Here is crystalline Y2SnPd4 at its relaxed geometry from the Alexandria database. Energies are from PBE-GGA.

ΔE to the lowest computed polymorph, meV per atom: 558.4

```
Y2SnPd4
1.0
-2.998 2.498 2.973
-3.621 -0.440 -3.281
1.247 -7.199 3.257
Y Sn Pd
2 1 4
Cartesian
-3.854 -0.602 0.666
-1.517 -4.539 2.283
0.000 0.000 0.000
-4.613 -2.871 1.808
-0.759 -2.269 1.142
-1.810 -0.220 -1.641
-1.499 1.249 1.487
```

Here is crystalline Ta2MoPb at its relaxed geometry from the Alexandria database. Energies are from PBE-GGA.

```
Ta2MoPb
1.0
-2.215 -3.450 3.221
-3.074 -3.295 -2.624
4.933 1.544 -0.684
Mo Pb Ta
1 1 2
Cartesian
-0.393 -2.562 -1.504
0.037 -2.640 1.418
0.000 0.000 0.000
-2.645 -3.372 0.299
```

Here is crystalline AcTb7Ho2 at its relaxed geometry from the Alexandria database. Energies are from PBE-GGA.

ΔE to the lowest computed polymorph, meV per atom: 616.3

```
AcTb7Ho2
1.0
-4.473 -3.609 0.314
5.719 -7.064 0.279
-2.845 4.183 7.556
Ac Tb Ho
1 7 2
Cartesian
0.000 0.000 0.000
3.745 -4.471 1.957
-0.871 1.590 5.878
-2.752 -0.968 2.427
1.153 -5.521 5.722
-0.696 -3.668 0.680
-0.903 -2.822 7.468
-0.799 -3.245 4.074
0.937 -5.525 2.599
-2.535 -0.965 5.549
```

Here is crystalline NaAgAu at its relaxed geometry from the Alexandria database. Energies are from PBE-GGA.

ΔE to the lowest computed polymorph, meV per atom: 0.0

```
NaAgAu
1.0
4.899 -0.036 -2.767
-3.214 4.617 -0.104
-0.026 0.036 5.626
Na Ag Au
2 2 2
Cartesian
0.813 0.581 4.197
0.846 4.035 -1.441
0.829 2.308 1.378
-1.607 2.308 -0.052
-1.620 2.326 2.761
2.436 0.000 1.429
```

| no. | mass density (g/cm3) | VASP energy (Ry/atom) | energy of formation (eV per atom) |
| --- | --- | --- | --- |
| 1 | 6.9 | -0.414 | -0.249 |
| 2 | 14.7 | -0.673 | 0.398 |
| 3 | 6.9 | -0.286 | 0.670 |
| 4 | 8.6 | -0.201 | -0.251 |